1.
The following is a PBE calculation of crystalline InTcAs2 at its relaxed geometry, from the Alexandria database.

```
InTcAs2
1.0
-1.1915 -0.7428 -8.4103
1.9294 -3.8091 -7.3805
-2.0474 0.8209 8.2364
As Tc In
2 1 1
direct
0.0844 0.0844 0.0000
0.7757 0.2757 0.5000
0.2022 0.7022 0.5000
0.4377 0.4377 0.0000
```

Calculated values
* symmetry: Imm2
* DFT formation energy: 0.016 eV/atom
* calculated total energy: -22.339 eV/f.u.
* total moment: 0.0 μB per cell



2.
The following is a PBE calculation of crystalline NbVPd2 at its relaxed geometry, from the Alexandria database.

```
NbVPd2
1.0
4.0734 0.0000 0.0000
0.0000 3.8845 0.0000
0.0000 0.0000 3.8845
V Pd Nb
1 2 1
direct
0.5000 0.0000 0.0000
0.0000 0.0000 0.5000
0.0000 0.5000 0.0000
0.5000 0.5000 0.5000
```

Calculated values
* symmetry: P4/mmm
* energy relative to the lowest polymorph listed for this composition: 4 meV/atom
* DFT formation energy: -0.238 eV/atom
* calculated total energy: -30.525 eV/f.u.
* total moment: 0.0 μB per cell



3.
The following is a PBE calculation of crystalline BeAl2Cd at its relaxed geometry, from the Alexandria database.

```
BeAl2Cd
1.0
-0.7319 -0.2305 2.7504
-2.6848 -0.6003 -0.7648
1.7611 -7.6565 -0.1730
Be Al Cd
1 2 1
direct
0.0000 0.0000 0.4851
0.5000 0.5000 0.2830
0.0000 0.0000 0.0125
0.5000 0.5000 0.7193
```

Calculated values
* symmetry: P4mm
* energy relative to the lowest polymorph listed for this composition: 29 meV/atom
* DFT formation energy: 0.239 eV/atom
* calculated total energy: -11.169 eV/f.u.
* total moment: 0.0 μB per cell



4.
The following is a PBE calculation of crystalline La4InHg2Pd at its relaxed geometry, from the Alexandria database.

```
La4InHg2Pd
1.0
5.4859 0.0000 0.0000
2.7429 4.7509 0.0000
2.7429 1.5836 8.8337
La Hg In Pd
4 2 1 1
direct
0.1324 0.1324 0.6027
0.8676 0.8676 0.3973
0.3849 0.3849 0.8452
0.6151 0.6151 0.1548
0.2593 0.2593 0.2221
0.7407 0.7407 0.7779
0.0000 0.0000 0.0000
0.5000 0.5000 0.5000
```

Calculated values
* symmetry: R-3m
* DFT formation energy: -0.560 eV/atom
* calculated total energy: -32.726 eV/f.u.
* total moment: 0.0 μB per cell



5.
The following is a PBE calculation of crystalline NdLuCdGa at its relaxed geometry, from the Alexandria database.

```
NdLuCdGa
1.0
5.2171 0.0000 0.0000
2.6086 4.5182 0.0000
2.6086 1.5061 4.2598
Cd Lu Nd Ga
1 1 1 1
direct
0.7500 0.7500 0.7500
0.0000 0.0000 0.0000
0.5000 0.5000 0.5000
0.2500 0.2500 0.2500
```

Calculated values
* symmetry: F-43m
* DFT formation energy: -0.412 eV/atom
* calculated total energy: -14.881 eV/f.u.
* total moment: 0.0 μB per cell



6.
The following is a PBE calculation of crystalline LaSmLu at its relaxed geometry, from the Alexandria database.

```
LaSmLu
1.0
3.4774 0.0000 0.0000
0.0000 5.7276 0.0000
0.0000 -2.8638 4.9603
La Sm Lu
1 1 1
direct
0.1665 0.0000 0.0000
0.6666 0.6667 0.3333
0.1669 0.3333 0.6667
```

Calculated values
* symmetry: P-6m2
* energy relative to the lowest polymorph listed for this composition: 41 meV/atom
* DFT formation energy: 0.079 eV/atom
* calculated total energy: -13.930 eV/f.u.
* total moment: 0.0 μB per cell



7.
The following is a PBE calculation of crystalline Pr2P3Rh12Pb at its relaxed geometry, from the Alexandria database.

```
Pr2P3Rh12Pb
1.0
7.3724 -0.4919 -0.3489
3.2132 6.6535 -0.3489
3.2132 1.8703 6.3948
Pb Rh P Pr
1 12 3 2
direct
0.0000 0.0000 0.0000
0.6661 0.0920 0.6661
0.8557 0.3928 0.8557
0.8557 0.8557 0.3928
0.6072 0.1443 0.1443
0.9080 0.3339 0.3339
0.1443 0.6072 0.1443
0.3928 0.8557 0.8557
0.3339 0.9080 0.3339
0.6661 0.6661 0.0920
0.0920 0.6661 0.6661
0.3339 0.3339 0.9080
0.1443 0.1443 0.6072
0.0000 0.5000 0.0000
0.0000 0.0000 0.5000
0.5000 0.0000 0.0000
0.4007 0.4007 0.4007
0.5993 0.5993 0.5993
```

Calculated values
* symmetry: R-3m
* DFT formation energy: -0.175 eV/atom
* calculated total energy: -120.871 eV/f.u.
* total moment: 0.0 μB per cell



8.
The following is a PBE calculation of crystalline TbCeHgRh at its relaxed geometry, from the Alexandria database.

```
TbCeHgRh
1.0
5.1290 0.0000 0.0000
2.5645 4.4419 0.0000
2.5645 1.4806 4.1878
Hg Rh Tb Ce
1 1 1 1
direct
0.7500 0.7500 0.7500
0.2500 0.2500 0.2500
0.0000 0.0000 0.0000
0.5000 0.5000 0.5000
```

Calculated values
* symmetry: F-43m
* DFT formation energy: -0.484 eV/atom
* calculated total energy: -20.151 eV/f.u.
* total moment: 0.8 μB per cell



9.
The following is a PBE calculation of crystalline Mn2WCl2 at its relaxed geometry, from the Alexandria database.

```
Mn2WCl2
1.0
-1.1573 -3.5456 -0.0102
2.6657 -0.8772 2.4566
-2.5650 -1.1394 5.2077
W Cl Mn
1 2 2
direct
0.0000 0.0000 0.0000
0.7500 0.2500 0.5000
0.2500 0.7500 0.5000
0.6002 0.6002 0.7996
0.3998 0.3998 0.2004
```

Calculated values
* symmetry: I4/mmm
* energy relative to the lowest polymorph listed for this composition: 0 meV/atom
* E_form (uncorrected): 0.98 eV/atom
* calculated total energy: -30.067 eV/f.u.
* total moment: 0.0 μB per cell



10.
The following is a PBE calculation of crystalline ZrBr3F at its relaxed geometry, from the Alexandria database.

```
ZrBr3F
1.0
-0.3163 0.8822 -4.7726
-4.8259 0.4509 0.4032
0.5156 4.7617 0.8460
Br F Zr
3 1 1
direct
0.5000 0.0000 0.0000
0.0000 0.0000 0.5000
0.0000 0.5000 0.0000
0.0000 0.0000 0.0000
0.5000 0.5000 0.5000
```

Calculated values
* symmetry: Pm-3m
* energy relative to the lowest polymorph listed for this composition: 1225 meV/atom
* E_form (uncorrected): 0.19 eV/atom
* calculated total energy: -14.465 eV/f.u.
* total moment: 0.0 μB per cell



11.
The following is a PBE calculation of crystalline HoZnCuPb at its relaxed geometry, from the Alexandria database.

```
HoZnCuPb
1.0
-2.4445 -3.4615 2.4648
2.4086 -3.8338 1.8798
0.5540 -0.4063 4.8540
Zn Ho Pb Cu
1 1 1 1
direct
0.7500 0.7500 0.7500
0.0000 0.0000 0.0000
0.5000 0.5000 0.5000
0.2500 0.2500 0.2500
```

Calculated values
* symmetry: F-43m
* DFT formation energy: -0.136 eV/atom
* calculated total energy: -14.199 eV/f.u.
* total moment: 0.0 μB per cell



12.
The following is a PBE calculation of crystalline TaMo3Os at its relaxed geometry, from the Alexandria database.

```
TaMo3Os
1.0
4.6500 0.0000 0.0000
0.0000 4.6500 0.0000
0.0000 0.0000 4.6500
Mo Ta Os
3 1 1
direct
0.0000 0.5000 0.0000
0.5000 0.0000 0.0000
0.0000 0.0000 0.5000
0.0000 0.0000 0.0000
0.5000 0.5000 0.5000
```

Calculated values
* symmetry: Pm-3m
* energy relative to the lowest polymorph listed for this composition: 635 meV/atom
* DFT formation energy: 2.251 eV/atom
* calculated total energy: -44.319 eV/f.u.
* total moment: 0.0 μB per cell



What are the Fermi-level density of states values for these records? In order: 2.93, 4.02, 1.54, 7.90, 3.36, 3.97, 12.03, 7.12, 4.35, 10.61, 1.91, 5.63 states/eV per cell.